# Fe4B3P, optimized geometry, DFT GGA-PBE
# - Uncorrected energy: -7.587 eV per atom
data_Fe4B3P
_space_group_name_H-M_alt 'P 1 m 1'
_space_group_IT_number 6
_cell_length_a 4.0349
_cell_length_b 3.1208
_cell_length_c 5.5015
_cell_angle_alpha 90.00
_cell_angle_beta 90.19
_cell_angle_gamma 90.00
loop_
_space_group_symop_operation_xyz
'x,y,z'
'x,-y,z'
loop_
_atom_site_label
_atom_site_fract_x
_atom_site_fract_y
_atom_site_fract_z
_atom_site_occupancy
Fe1 0.0000 0.0000 0.0000 1
Fe2 0.2455 0.0000 0.4799 1
Fe3 0.4910 0.5000 0.8675 1
Fe4 0.7457 0.5000 0.3261 1
B1 0.0300 0.5000 0.7204 1
B2 0.2497 0.5000 0.2051 1
B3 0.4853 0.0000 0.1338 1
P1 0.7359 0.0000 0.6328 1



# Fe4BP3, optimized geometry, DFT GGA-PBE
# - Uncorrected energy: -7.260 eV per atom
data_Fe4BP3
_space_group_name_H-M_alt 'P 1 m 1'
_space_group_IT_number 6
_cell_length_a 4.1763
_cell_length_b 2.8762
_cell_length_c 6.9768
_cell_angle_alpha 90.00
_cell_angle_beta 98.56
_cell_angle_gamma 90.00
loop_
_space_group_symop_operation_xyz
'x,y,z'
'x,-y,z'
loop_
_atom_site_label
_atom_site_fract_x
_atom_site_fract_y
_atom_site_fract_z
_atom_site_occupancy
Fe1 0.0000 0.0000 0.0000 1
Fe2 0.1271 0.0000 0.5657 1
Fe3 0.4766 0.5000 0.8583 1
Fe4 0.6044 0.5000 0.3948 1
B1 0.9896 0.5000 0.7663 1
P1 0.0724 0.5000 0.2726 1
P2 0.5339 0.0000 0.1322 1
P3 0.6548 0.0000 0.6601 1



# Fe6BP2, optimized geometry, DFT GGA-PBE
# - Uncorrected energy: -7.870 eV per atom
data_Fe6BP2
_space_group_name_H-M_alt 'P -6 2 m'
_space_group_IT_number 189
_space_group_name_Hall 'P -6 -2'
_cell_length_a 5.9618
_cell_length_b 5.9618
_cell_length_c 3.0651
_cell_angle_alpha 90.00
_cell_angle_beta 90.00
_cell_angle_gamma 120.00
loop_
_atom_site_label
_atom_site_fract_x
_atom_site_fract_y
_atom_site_fract_z
_atom_site_occupancy
Fe1 0.0000 0.2490 0.0000 1
Fe2 0.0000 0.6103 0.5000 1
B1 0.0000 0.0000 0.5000 1
P1 0.3333 0.6667 0.0000 1



# PaFe4B4, optimized geometry, DFT GGA-PBE
# - Uncorrected energy: -8.248 eV per atom
data_PaFe4B4
_space_group_name_H-M_alt 'P 42/n m c'
_space_group_IT_number 137
_cell_length_a 5.0577
_cell_length_b 5.0577
_cell_length_c 6.9175
_cell_angle_alpha 90.00
_cell_angle_beta 90.00
_cell_angle_gamma 90.00
loop_
_space_group_symop_operation_xyz
'x,y,z'
'-x,-y,-z'
'-y+1/2,x,z+1/2'
'y+1/2,-x,-z+1/2'
'-x+1/2,-y+1/2,z'
'x+1/2,y+1/2,-z'
'y,-x+1/2,z+1/2'
'-y,x+1/2,-z+1/2'
'x+1/2,-y,-z'
'-x+1/2,y,z'
'-y,-x,-z+1/2'
'y,x,z+1/2'
'-x,y+1/2,-z'
'x,-y+1/2,z'
'y+1/2,x+1/2,-z+1/2'
'-y+1/2,-x+1/2,z+1/2'
loop_
_atom_site_label
_atom_site_fract_x
_atom_site_fract_y
_atom_site_fract_z
_atom_site_occupancy
Pa1 0.2500 0.7500 0.2500 1
Fe1 0.0089 0.7500 0.6149 1
B1 0.0772 0.2500 0.0914 1



# PaFeB, optimized geometry, DFT GGA-PBE
# - Relative energy among the computed polymorphs: 167 meV/atom
data_PaFeB
_space_group_name_H-M_alt 'F -4 3 m'
_space_group_IT_number 216
_space_group_name_Hall 'F -4 2 3'
_cell_length_a 5.7453
_cell_length_b 5.7453
_cell_length_c 5.7453
_cell_angle_alpha 90.00
_cell_angle_beta 90.00
_cell_angle_gamma 90.00
loop_
_atom_site_label
_atom_site_fract_x
_atom_site_fract_y
_atom_site_fract_z
_atom_site_occupancy
Pa1 0.0000 0.0000 0.0000 1
Fe1 0.2500 0.2500 0.7500 1
B1 0.0000 0.0000 0.5000 1



# PaFeB, optimized geometry, DFT GGA-PBE
# - Relative energy among the computed polymorphs: 0 meV/atom
data_PaFeB
_space_group_name_H-M_alt 'F -4 3 m'
_space_group_IT_number 216
_space_group_name_Hall 'F -4 2 3'
_cell_length_a 5.7599
_cell_length_b 5.7599
_cell_length_c 5.7599
_cell_angle_alpha 90.00
_cell_angle_beta 90.00
_cell_angle_gamma 90.00
loop_
_atom_site_label
_atom_site_fract_x
_atom_site_fract_y
_atom_site_fract_z
_atom_site_occupancy
Pa1 0.0000 0.0000 0.0000 1
Fe1 0.0000 0.0000 0.5000 1
B1 0.2500 0.2500 0.7500 1



# PaFe2B2, optimized geometry, DFT GGA-PBE
# - Uncorrected energy: -8.372 eV per atom
data_PaFe2B2
_space_group_name_H-M_alt 'I 4/m m m'
_space_group_IT_number 139
_space_group_name_Hall '-I 4 2'
_cell_length_a 3.7142
_cell_length_b 3.7142
_cell_length_c 8.1662
_cell_angle_alpha 90.00
_cell_angle_beta 90.00
_cell_angle_gamma 90.00
loop_
_atom_site_label
_atom_site_fract_x
_atom_site_fract_y
_atom_site_fract_z
_atom_site_occupancy
Pa1 0.0000 0.0000 0.0000 1
Fe1 0.0000 0.5000 0.2500 1
B1 0.0000 0.0000 0.3766 1



# PaFeB, optimized geometry, DFT GGA-PBE
# - Relative energy among the computed polymorphs: 863 meV/atom
data_PaFeB
_space_group_name_H-M_alt 'F -4 3 m'
_space_group_IT_number 216
_space_group_name_Hall 'F -4 2 3'
_cell_length_a 5.8808
_cell_length_b 5.8808
_cell_length_c 5.8808
_cell_angle_alpha 90.00
_cell_angle_beta 90.00
_cell_angle_gamma 90.00
loop_
_atom_site_label
_atom_site_fract_x
_atom_site_fract_y
_atom_site_fract_z
_atom_site_occupancy
Pa1 0.0000 0.0000 0.0000 1
Fe1 0.2500 0.2500 0.2500 1
B1 0.2500 0.2500 0.7500 1



# FeBPd2, optimized geometry, DFT GGA-PBE
# - Uncorrected energy: -5.878 eV per atom
data_FeBPd2
_space_group_name_H-M_alt 'F -4 3 m'
_space_group_IT_number 216
_space_group_name_Hall 'F -4 2 3'
_cell_length_a 5.8676
_cell_length_b 5.8676
_cell_length_c 5.8676
_cell_angle_alpha 90.00
_cell_angle_beta 90.00
_cell_angle_gamma 90.00
loop_
_atom_site_label
_atom_site_fract_x
_atom_site_fract_y
_atom_site_fract_z
_atom_site_occupancy
Fe1 0.0000 0.0000 0.0000 1
B1 0.2500 0.2500 0.2500 1
Pd1 0.0000 0.0000 0.5000 1
Pd2 0.2500 0.2500 0.7500 1



# Fe2BPd, optimized geometry, DFT GGA-PBE
# - Uncorrected energy: -6.841 eV per atom
data_Fe2BPd
_space_group_name_H-M_alt 'F -4 3 m'
_space_group_IT_number 216
_space_group_name_Hall 'F -4 2 3'
_cell_length_a 5.6359
_cell_length_b 5.6359
_cell_length_c 5.6359
_cell_angle_alpha 90.00
_cell_angle_beta 90.00
_cell_angle_gamma 90.00
loop_
_atom_site_label
_atom_site_fract_x
_atom_site_fract_y
_atom_site_fract_z
_atom_site_occupancy
Fe1 0.0000 0.0000 0.0000 1
Fe2 0.2500 0.2500 0.2500 1
B1 0.2500 0.2500 0.7500 1
Pd1 0.0000 0.0000 0.5000 1



# FeB2Pd, optimized geometry, DFT GGA-PBE
# - Relative energy among the computed polymorphs: 1086 meV/atom
data_FeB2Pd
_space_group_name_H-M_alt 'F -4 3 m'
_space_group_IT_number 216
_space_group_name_Hall 'F -4 2 3'
_cell_length_a 5.4613
_cell_length_b 5.4613
_cell_length_c 5.4613
_cell_angle_alpha 90.00
_cell_angle_beta 90.00
_cell_angle_gamma 90.00
loop_
_atom_site_label
_atom_site_fract_x
_atom_site_fract_y
_atom_site_fract_z
_atom_site_occupancy
Fe1 0.0000 0.0000 0.0000 1
B1 0.0000 0.0000 0.5000 1
B2 0.2500 0.2500 0.2500 1
Pd1 0.2500 0.2500 0.7500 1



# FeB2Pd, optimized geometry, DFT GGA-PBE
# - Relative energy among the computed polymorphs: 0 meV/atom
data_FeB2Pd
_space_group_name_H-M_alt 'A m m 2'
_space_group_IT_number 38
_cell_length_a 3.0533
_cell_length_b 3.0493
_cell_length_c 8.0073
_cell_angle_alpha 90.00
_cell_angle_beta 90.00
_cell_angle_gamma 90.00
loop_
_space_group_symop_operation_xyz
'x,y,z'
'-x,-y,z'
'-x,y,z'
'x,-y,z'
'x,y+1/2,z+1/2'
'-x,-y+1/2,z+1/2'
'-x,y+1/2,z+1/2'
'x,-y+1/2,z+1/2'
loop_
_atom_site_label
_atom_site_fract_x
_atom_site_fract_y
_atom_site_fract_z
_atom_site_occupancy
Fe1 0.0000 0.0000 0.0000 1
B1 0.0000 0.0000 0.3168 1
B2 0.5000 0.0000 0.4406 1
Pd1 0.5000 0.0000 0.7160 1



# FeReBPd, optimized geometry, DFT GGA-PBE
# - Relative energy among the computed polymorphs: 0 meV/atom
data_FeReBPd
_space_group_name_H-M_alt 'F -4 3 m'
_space_group_IT_number 216
_space_group_name_Hall 'F -4 2 3'
_cell_length_a 5.7934
_cell_length_b 5.7934
_cell_length_c 5.7934
_cell_angle_alpha 90.00
_cell_angle_beta 90.00
_cell_angle_gamma 90.00
loop_
_atom_site_label
_atom_site_fract_x
_atom_site_fract_y
_atom_site_fract_z
_atom_site_occupancy
Fe1 0.0000 0.0000 0.0000 1
Re1 0.0000 0.0000 0.5000 1
B1 0.2500 0.2500 0.7500 1
Pd1 0.2500 0.2500 0.2500 1



# ScFeBPd, optimized geometry, DFT GGA-PBE
# - Relative energy among the computed polymorphs: 0 meV/atom
data_ScFeBPd
_space_group_name_H-M_alt 'F -4 3 m'
_space_group_IT_number 216
_space_group_name_Hall 'F -4 2 3'
_cell_length_a 5.8429
_cell_length_b 5.8429
_cell_length_c 5.8429
_cell_angle_alpha 90.00
_cell_angle_beta 90.00
_cell_angle_gamma 90.00
loop_
_atom_site_label
_atom_site_fract_x
_atom_site_fract_y
_atom_site_fract_z
_atom_site_occupancy
Sc1 0.0000 0.0000 0.0000 1
Fe1 0.2500 0.2500 0.7500 1
B1 0.0000 0.0000 0.5000 1
Pd1 0.2500 0.2500 0.2500 1